(1)
Computed, not measured: a crystal of Ba2TiRhI relaxed with PBEsol at the SCAN level of DFT.

The structure in CIF format:
```
data_Ba2TiRhI
_chemical_formula_sum 'Ba2 Ti1 Rh1 I1'
_cell_length_a 6.2128
_cell_length_b 6.2128
_cell_length_c 4.6017
_cell_angle_alpha 90.00
_cell_angle_beta 90.00
_cell_angle_gamma 90.00
_symmetry_space_group_name_H-M 'P 4/m m m'
_symmetry_Int_Tables_number 123
_symmetry_space_group_name_Hall '-P 4 2'
loop_
_atom_site_label
_atom_site_type_symbol
_atom_site_fract_x
_atom_site_fract_y
_atom_site_fract_z
_atom_site_occupancy
Ba1 Ba 0.0000 0.5000 0.0000 1
Ti1 Ti 0.0000 0.0000 0.5000 1
Rh1 Rh 0.0000 0.0000 0.0000 1
I1 I 0.5000 0.5000 0.5000 1
```

As for the total energy: -33.61 eV/atom. The calculation puts the energy relative to the elements, uncorrected at -0.479 eV/atom. The density of states at the Fermi level is 0.65 states/eV per atom. As for the crystal system: tetragonal. As for the calculated volume: 35.52 Å³/atom. As for the total magnetic moment: 2.4 Bohr magnetons per cell.


(2)
Computed, not measured: a crystal of BaRu2I relaxed with PBEsol at the SCAN level of DFT.

The structure in CIF format:
```
data_BaRu2I
_chemical_formula_sum 'Ba4 Ru8 I4'
_cell_length_a 6.8811
_cell_length_b 6.8811
_cell_length_c 6.8811
_cell_angle_alpha 90.00
_cell_angle_beta 90.00
_cell_angle_gamma 90.00
_symmetry_space_group_name_H-M 'F m -3 m'
_symmetry_Int_Tables_number 225
_symmetry_space_group_name_Hall '-F 4 2 3'
loop_
_atom_site_label
_atom_site_type_symbol
_atom_site_fract_x
_atom_site_fract_y
_atom_site_fract_z
_atom_site_occupancy
Ba1 Ba 0.0000 0.0000 0.0000 1
Ru1 Ru 0.2500 0.2500 0.2500 1
I1 I 0.0000 0.0000 0.5000 1
```

As for the total energy: -35.40 eV/atom. The calculation puts the energy relative to the elements, uncorrected at 1.086 eV/atom. The density of states at the Fermi level is 1.18 states/eV per atom. As for the crystal system: cubic. As for the calculated volume: 20.36 Å³/atom. As for the total magnetic moment: 4.3 Bohr magnetons per cell.


(3)
Computed, not measured: a crystal of BaRuI3 relaxed with PBEsol at the SCAN level of DFT.

The structure in CIF format:
```
data_BaRuI3
_chemical_formula_sum 'Ba1 Ru1 I3'
_cell_length_a 5.3777
_cell_length_b 5.3777
_cell_length_c 5.3777
_cell_angle_alpha 90.00
_cell_angle_beta 90.00
_cell_angle_gamma 90.00
_symmetry_space_group_name_H-M 'P m -3 m'
_symmetry_Int_Tables_number 221
_symmetry_space_group_name_Hall '-P 4 2 3'
loop_
_atom_site_label
_atom_site_type_symbol
_atom_site_fract_x
_atom_site_fract_y
_atom_site_fract_z
_atom_site_occupancy
Ba1 Ba 0.0000 0.0000 0.0000 1
Ru1 Ru 0.5000 0.5000 0.5000 1
I1 I 0.0000 0.5000 0.5000 1
```

As for the total energy: -37.61 eV/atom. The calculation puts the energy relative to the elements, uncorrected at -0.693 eV/atom. The density of states at the Fermi level is 0.15 states/eV per atom. As for the crystal system: cubic. As for the calculated volume: 31.10 Å³/atom. As for the total magnetic moment: 1.0 Bohr magnetons per cell.


(4)
Computed, not measured: a crystal of BaSbSI2 relaxed with PBEsol at the SCAN level of DFT.

The structure in CIF format:
```
data_BaSbSI2
_chemical_formula_sum 'Ba1 Sb1 S1 I2'
_cell_length_a 6.5783
_cell_length_b 6.5783
_cell_length_c 6.9732
_cell_angle_alpha 90.00
_cell_angle_beta 90.00
_cell_angle_gamma 90.00
_symmetry_space_group_name_H-M 'P 4/m m m'
_symmetry_Int_Tables_number 123
_symmetry_space_group_name_Hall '-P 4 2'
loop_
_atom_site_label
_atom_site_type_symbol
_atom_site_fract_x
_atom_site_fract_y
_atom_site_fract_z
_atom_site_occupancy
Ba1 Ba 0.0000 0.0000 0.0000 1
Sb1 Sb 0.0000 0.0000 0.5000 1
S1 S 0.5000 0.5000 0.5000 1
I1 I 0.0000 0.5000 0.0000 1
```

As for the total energy: -31.79 eV/atom. The calculation puts the energy relative to the elements, uncorrected at 0.191 eV/atom. The density of states at the Fermi level is 1.39 states/eV per atom. As for the crystal system: tetragonal. As for the calculated volume: 60.35 Å³/atom. As for the total magnetic moment: 5.0 Bohr magnetons per cell.